Record 1
The following is a GGA-PBE calculation of an optimized crystal structure of TmZn9Ni3, from Alexandria.

abc: 6.660 6.660 6.560
angles: 97.95 97.95 135.80
Fractional positions:
Tm 0.000 0.000 0.000
Zn 0.021 0.671 0.662
Zn 0.278 0.501 0.785
Zn 0.329 0.979 0.338
Zn 0.499 0.722 0.215
Zn 0.500 0.500 0.500
Zn 0.501 0.278 0.785
Zn 0.671 0.021 0.662
Zn 0.722 0.499 0.215
Zn 0.979 0.329 0.338
Ni 0.000 0.000 0.500
Ni 0.000 0.500 0.000
Ni 0.500 0.000 0.000

Results
Symmetry = No. 12
V = 14.5 A^3/atom
E_form = -6.16 kcal/mol of atoms

***

Record 2
The following is a GGA-PBE calculation of an optimized crystal structure of KAlCr2Sb, from Alexandria.

abc: 5.245 5.245 6.378
angles: 90.00 90.00 90.00
Fractional positions:
K 0.000 0.000 0.000
Al 0.500 0.500 0.000
Cr 0.000 0.500 0.500
Cr 0.500 0.000 0.500
Sb 0.000 0.000 0.500

Results
Symmetry = No. 123
V = 35.1 A^3/atom
Energy relative to the elements, uncorrected = 997.7 meV/atom

***

Record 3
The following is a GGA-PBE calculation of an optimized crystal structure of YTiIr, from Alexandria.

abc: 4.362 4.362 6.655
angles: 90.00 90.00 90.00
Fractional positions:
Y 0.250 0.250 0.144
Y 0.750 0.750 0.856
Ti 0.250 0.750 0.500
Ti 0.750 0.250 0.500
Ir 0.250 0.250 0.702
Ir 0.750 0.750 0.298

Results
Symmetry = No. 129
V = 21.1 A^3/atom
E_form = -16.37 kcal/mol of atoms

***

Record 4
The following is a GGA-PBE calculation of an optimized crystal structure of Pm3Ho2Rh4, from Alexandria.

abc: 5.795 5.795 9.292
angles: 97.21 97.21 43.64
Fractional positions:
Pm 0.000 0.000 0.000
Pm 0.375 0.375 0.606
Pm 0.625 0.625 0.394
Ho 0.323 0.323 0.200
Ho 0.677 0.677 0.800
Rh 0.097 0.097 0.615
Rh 0.317 0.317 0.901
Rh 0.683 0.683 0.099
Rh 0.903 0.903 0.385

Results
Symmetry = No. 12
V = 23.7 A^3/atom
E_form = -15.65 kcal/mol of atoms

***

Record 5
The following is a GGA-PBE calculation of an optimized crystal structure of Gd2PaRh, from Alexandria.

abc: 3.423 3.423 8.302
angles: 90.00 90.00 90.00
Fractional positions:
Gd 0.000 0.000 0.208
Gd 0.000 0.000 0.792
Pa 0.500 0.500 0.500
Rh 0.500 0.500 0.000

Results
Symmetry = No. 123
V = 24.3 A^3/atom
E_form = -5.20 kcal/mol of atoms

***

Record 6
The following is a GGA-PBE calculation of an optimized crystal structure of TlAu2C, from Alexandria.

abc: 5.548 5.548 12.402
angles: 90.00 90.00 90.00
Fractional positions:
Tl 0.000 0.250 0.375
Tl 0.000 0.750 0.625
Tl 0.500 0.250 0.125
Tl 0.500 0.750 0.875
Au 0.000 0.000 0.000
Au 0.000 0.500 0.000
Au 0.250 0.250 0.750
Au 0.250 0.750 0.250
Au 0.500 0.000 0.500
Au 0.500 0.500 0.500
Au 0.750 0.250 0.750
Au 0.750 0.750 0.250
C 0.000 0.250 0.875
C 0.000 0.750 0.125
C 0.500 0.250 0.625
C 0.500 0.750 0.375

Results
Symmetry = No. 141
V = 23.9 A^3/atom
E_form = 16.89 kcal/mol of atoms

***

Record 7
The following is a GGA-PBE calculation of an optimized crystal structure of Al2BPtSe, from Alexandria.

abc: 4.123 4.123 4.560
angles: 90.00 90.00 90.00
Fractional positions:
Al 0.000 0.500 0.000
Al 0.500 0.000 0.000
B 0.000 0.000 0.000
Pt 0.000 0.000 0.500
Se 0.500 0.500 0.500

Results
Symmetry = No. 123
V = 15.5 A^3/atom
Energy relative to the elements, uncorrected = 81.4 meV/atom

***

Record 8
The following is a GGA-PBE calculation of an optimized crystal structure of LaOsSe2, from Alexandria.

abc: 7.013 7.013 7.013
angles: 90.00 90.00 90.00
Fractional positions:
La 0.000 0.000 0.000
La 0.000 0.500 0.500
La 0.500 0.000 0.500
La 0.500 0.500 0.000
Os 0.250 0.250 0.750
Os 0.250 0.750 0.250
Os 0.750 0.250 0.250
Os 0.750 0.750 0.750
Se 0.000 0.000 0.500
Se 0.000 0.500 0.000
Se 0.250 0.250 0.250
Se 0.250 0.750 0.750
Se 0.500 0.000 0.000
Se 0.500 0.500 0.500
Se 0.750 0.250 0.750
Se 0.750 0.750 0.250

Results
Symmetry = No. 216
V = 21.6 A^3/atom
Energy relative to the elements, uncorrected = 217.8 meV/atom

***

Record 9
The following is a GGA-PBE calculation of an optimized crystal structure of PaCrNiP2, from Alexandria.

abc: 3.769 3.769 10.410
angles: 90.00 90.00 90.00
Fractional positions:
Pa 0.000 0.000 0.000
Pa 0.500 0.500 0.500
Cr 0.000 0.500 0.250
Cr 0.500 0.000 0.750
Ni 0.000 0.500 0.750
Ni 0.500 0.000 0.250
P 0.000 0.000 0.372
P 0.000 0.000 0.628
P 0.500 0.500 0.128
P 0.500 0.500 0.872

Results
Symmetry = No. 119
V = 14.8 A^3/atom
E_form = -18.28 kcal/mol of atoms

***

Record 10
The following is a GGA-PBE calculation of an optimized crystal structure of AlTeMoN2, from Alexandria.

abc: 3.894 3.894 5.546
angles: 90.00 90.00 90.00
Fractional positions:
Al 0.000 0.000 0.000
Te 0.000 0.000 0.500
Mo 0.500 0.500 0.500
N 0.000 0.500 0.000
N 0.500 0.000 0.000

Results
Symmetry = No. 123
V = 16.8 A^3/atom
Energy relative to the elements, uncorrected = 1126.5 meV/atom

***

Record 11
The following is a GGA-PBE calculation of an optimized crystal structure of TaPb2Se, from Alexandria.

abc: 4.407 4.407 9.788
angles: 90.00 90.00 90.00
Fractional positions:
Ta 0.000 0.000 0.000
Ta 0.500 0.500 0.500
Pb 0.000 0.500 0.250
Pb 0.000 0.500 0.750
Pb 0.500 0.000 0.250
Pb 0.500 0.000 0.750
Se 0.000 0.000 0.500
Se 0.500 0.500 0.000

Results
Symmetry = No. 139
V = 23.8 A^3/atom
Energy relative to the elements, uncorrected = 568.1 meV/atom

***

Record 12
The following is a GGA-PBE calculation of an optimized crystal structure of La2VCu, from Alexandria.

abc: 7.375 7.375 7.375
angles: 90.00 90.00 90.00
Fractional positions:
La 0.250 0.250 0.250
La 0.250 0.250 0.750
La 0.250 0.750 0.250
La 0.250 0.750 0.750
La 0.750 0.250 0.250
La 0.750 0.250 0.750
La 0.750 0.750 0.250
La 0.750 0.750 0.750
V 0.000 0.000 0.000
V 0.000 0.500 0.500
V 0.500 0.000 0.500
V 0.500 0.500 0.000
Cu 0.000 0.000 0.500
Cu 0.000 0.500 0.000
Cu 0.500 0.000 0.000
Cu 0.500 0.500 0.500

Results
Symmetry = No. 225
V = 25.1 A^3/atom
E_form = 5.45 kcal/mol of atoms

***

Record 13
The following is a GGA-PBE calculation of an optimized crystal structure of CrRe2Hg, from Alexandria.

abc: 2.833 3.839 5.810
angles: 90.00 90.00 90.00
Fractional positions:
Cr 0.000 0.000 0.000
Re 0.500 0.500 0.204
Re 0.500 0.500 0.796
Hg 0.000 0.000 0.500

Results
Symmetry = No. 47
V = 15.8 A^3/atom
E_form = 12.56 kcal/mol of atoms

***

Record 14
The following is a GGA-PBE calculation of an optimized crystal structure of BaTiRuO6, from Alexandria.

abc: 5.251 5.251 5.759
angles: 90.00 90.00 120.00
Fractional positions:
Ba 0.000 0.000 0.000
Ti 0.333 0.667 0.500
Ru 0.667 0.333 0.500
O 0.399 0.005 0.693
O 0.399 0.394 0.307
O 0.606 0.005 0.307
O 0.606 0.601 0.693
O 0.995 0.394 0.693
O 0.995 0.601 0.307

Results
Symmetry = No. 149
V = 15.3 A^3/atom
Energy relative to the elements, uncorrected = -2045.0 meV/atom